[1]
DFT (PBE) results for a relaxed ZnRuSe2 crystal.

a b c (Å): 3.544 3.896 5.203
angles (deg): 90.00 90.14 90.00
Space group P2/m (No. 10)
One atom of each set of equivalent atoms:
Zn1 0.000 0.000 0.000
Ru1 0.500 0.500 0.500
Se1 0.000 0.000 0.500
Se2 0.500 0.500 0.000

Values from the calculation:
- formation energy (no corrections) (meV per atom) = 24

[2]
DFT (PBE) results for a relaxed LuThTcPt crystal.

a b c (Å): 6.998 6.998 6.998
angles (deg): 90.00 90.00 90.00
Space group F-43m (No. 216)
One atom of each set of equivalent atoms:
Lu1 0.000 0.000 0.000
Th1 0.000 0.000 0.500
Tc1 0.250 0.250 0.750
Pt1 0.250 0.250 0.250

Values from the calculation:
- energy of formation from the pure elements (eV/atom) = -0.6118

Density for every record listed, in sequence, given in g cm⁻³: 7.50 13.57.
DOS at the Fermi energy for every record listed, in sequence, given in states/eV/f.u.: 3.4 2.5.
Calculated total energy for every record listed, in sequence, given in eV/atom: -4.36 -7.70.